Entry P
Computed, not measured: PuScOs after structural relaxation at the PBE level of DFT.

Calculated values
Density: 12.45 g/cm3

Cell: 3.213 3.213 6.596 Å, 104.10 104.10 90.00°
Sites, in units of the cell vectors:
Os: 0.943 0.943 0.887
Sc: 0.317 0.317 0.634
Pu: 0.590 0.590 0.179

Entry Q
Computed, not measured: PuScOs after structural relaxation at the PBE level of DFT.

Calculated values
Density: 13.53 g/cm3

Cell: 5.318 5.628 6.094 Å, 114.62 95.08 126.80°
Sites, in units of the cell vectors:
Pu: 0.798 0.883 0.723
Pu: 0.202 0.117 0.277
Sc: 0.105 0.550 0.763
Sc: 0.895 0.450 0.237
Os: 0.463 0.245 0.780
Os: 0.537 0.755 0.220

What is the most stable structure shown above? It is entry P.